Record 1
# NiRuAu2

A crystal of NiRuAu2 relaxed with PBEsol (meta-GGA SCAN, the Alexandria database).

## Properties
The value obtained for the formation energy is 359.1 meV per atom. The value obtained for the energy above the most stable polymorph in this dataset is 140.1 meV/atom.

Cell lengths 6.1870, 6.1870, 6.1870 Å; angles 90.00, 90.00, 90.00 degrees
With the nearest neighbours (Å) after each atom.
Space group F-43m (No. 216)
Asymmetric unit:
1 Ni 0.0000 0.0000 0.0000 x4  4 Au 2.68, 4 Ru 2.68
2 Ru 0.2500 0.2500 0.7500 x4  4 Ni 2.68, 4 Au 2.68
3 Au 0.0000 0.0000 0.5000 x4  4 Ru 2.68, 4 Au 2.68
4 Au 0.2500 0.2500 0.2500 x4  4 Ni 2.68, 4 Au 2.68

---

Record 2
# ZnAgAu2

A crystal of ZnAgAu2 relaxed with PBEsol (meta-GGA SCAN, the Alexandria database).

## Properties
The value obtained for the formation energy is -154.7 meV per atom.

Cell lengths 2.9197, 3.7998, 5.7771 Å; angles 90.00, 90.00, 90.00 degrees
With the nearest neighbours (Å) after each atom.
Space group Pmmm (No. 47)
Asymmetric unit:
1 Zn 0.0000 0.0000 0.0000 x1  8 Au 2.77, 2 Ag 2.89, 2 Zn 2.92
2 Ag 0.0000 0.0000 0.5000 x1  8 Au 2.83, 2 Zn 2.89, 2 Ag 2.92
3 Au 0.5000 0.5000 0.2402 x2  4 Zn 2.77, 4 Au 2.78-3.00, 4 Ag 2.83

---

Record 3
# ZrCrIn

A crystal of ZrCrIn relaxed with PBEsol (meta-GGA SCAN, the Alexandria database).

## Properties
The value obtained for the formation energy is 304.0 meV per atom. The value obtained for the energy above the most stable polymorph in this dataset is 0.0 meV/atom.

Cell lengths 6.5055, 6.5055, 6.5055 Å; angles 90.00, 90.00, 90.00 degrees
With the nearest neighbours (Å) after each atom.
Space group F-43m (No. 216)
Asymmetric unit:
1 Zr 0.0000 0.0000 0.0000 x4  4 In 2.82
2 Cr 0.0000 0.0000 0.5000 x4  4 In 2.82
3 In 0.2500 0.2500 0.7500 x4  4 Cr 2.82, 4 Zr 2.82

---

Record 4
# La2NiCl

A crystal of La2NiCl relaxed with PBEsol (meta-GGA SCAN, the Alexandria database).

## Properties
The value obtained for the energy above the most stable polymorph in this dataset is 379.3 meV/atom.

Cell lengths 3.9448, 3.9448, 12.1894 Å; angles 90.00, 90.00, 90.00 degrees
With the nearest neighbours (Å) after each atom.
Space group I-4m2 (No. 119)
Asymmetric unit:
1 La 0.0000 0.0000 0.0000 x2  4 Ni 2.79
2 La 0.0000 0.5000 0.2500 x2  4 Cl 2.79
3 Ni 0.0000 0.0000 0.5000 x2  4 La 2.79
4 Cl 0.0000 0.5000 0.7500 x2  4 La 2.79

---

The magnetization results, record by record, are as follows: 10.94 0.00 17.61 0.00 μB per cell.